1.
Density functional theory data (PBE) for a relaxed ScAgP crystal.

Unit cell a=4.445 b=4.445 c=4.445 alpha=60.00 beta=60.00 gamma=60.00
Positions (direct):
Sc: 0.000 0.000 0.000
Ag: 0.250 0.250 0.250
P: 0.750 0.750 0.750

Values from the calculation:
- D(E_F) (states/eV/cell) = 1.242
- ΔH_f (0 K) (kJ/mol of formula units) = -105

---

2.
Density functional theory data (PBE) for a relaxed FeHgAu2 crystal.

Unit cell a=9.662 b=9.662 c=9.662 alpha=17.67 beta=17.67 gamma=17.67
Positions (direct):
Fe: 0.000 0.000 0.000
Hg: 0.500 0.500 0.500
Au: 0.260 0.260 0.260
Au: 0.740 0.740 0.740

Values from the calculation:
- D(E_F) (states/eV/cell) = 2.146
- ΔH_f (0 K) (kJ/mol of formula units) = 70

---

3.
Density functional theory data (PBE) for a relaxed Tb3PrDy2Tm6 crystal.

Unit cell a=6.121 b=6.121 c=11.667 alpha=95.00 beta=95.00 gamma=119.96
Positions (direct):
Tb: 0.000 0.000 0.000
Tb: 0.333 0.667 0.000
Tb: 0.667 0.333 0.000
Pr: 0.500 0.500 0.500
Dy: 0.167 0.833 0.500
Dy: 0.833 0.167 0.500
Tm: 0.082 0.416 0.249
Tm: 0.250 0.250 0.751
Tm: 0.416 0.082 0.249
Tm: 0.584 0.918 0.751
Tm: 0.750 0.750 0.249
Tm: 0.918 0.584 0.751

Values from the calculation:
- D(E_F) (states/eV/cell) = 15.363
- ΔH_f (0 K) (kJ/mol of formula units) = 25

---

4.
Density functional theory data (PBE) for a relaxed Re7W crystal.

Unit cell a=5.558 b=5.558 c=5.558 alpha=60.00 beta=60.00 gamma=60.00
Positions (direct):
Re: 0.000 0.000 0.000
Re: 0.000 0.000 0.500
Re: 0.000 0.500 0.000
Re: 0.000 0.500 0.500
Re: 0.500 0.000 0.000
Re: 0.500 0.000 0.500
Re: 0.500 0.500 0.000
W: 0.500 0.500 0.500

Values from the calculation:
- D(E_F) (states/eV/cell) = 4.210
- ΔH_f (0 K) (kJ/mol of formula units) = 61

---

5.
Density functional theory data (PBE) for a relaxed AlCd4Cl crystal.

Unit cell a=5.895 b=5.895 c=5.895 alpha=60.00 beta=60.00 gamma=60.00
Positions (direct):
Al: 0.000 0.000 0.000
Cd: 0.124 0.625 0.625
Cd: 0.625 0.124 0.625
Cd: 0.625 0.625 0.124
Cd: 0.625 0.625 0.625
Cl: 0.250 0.250 0.250

Values from the calculation:
- D(E_F) (states/eV/cell) = 1.686
- formation energy (no corrections) (eV/atom) = 0.091

---

6.
Density functional theory data (PBE) for a relaxed SbTeRh2 crystal.

Unit cell a=5.059 b=5.059 c=4.730 alpha=100.44 beta=100.44 gamma=40.28
Positions (direct):
Sb: 0.000 0.000 0.000
Te: 0.242 0.242 0.571
Rh: 0.512 0.512 0.472
Rh: 0.731 0.731 0.124

Values from the calculation:
- D(E_F) (states/eV/cell) = 2.276
- formation energy (no corrections) (eV/atom) = -0.180

---

7.
Density functional theory data (PBE) for a relaxed Re2PtI2 crystal.

Unit cell a=6.432 b=6.432 c=6.432 alpha=139.38 beta=139.38 gamma=58.79
Positions (direct):
Re: 0.102 0.102 0.000
Re: 0.898 0.898 0.000
Pt: 0.500 0.500 0.000
I: 0.250 0.750 0.500
I: 0.750 0.250 0.500

Values from the calculation:
- D(E_F) (states/eV/cell) = 6.914
- E above lowest polymorph (eV per atom) = 0.459
- formation energy (no corrections) (eV/atom) = 1.605

---

8.
Density functional theory data (PBE) for a relaxed K2Rb5O crystal.

Unit cell a=9.710 b=9.710 c=9.710 alpha=124.55 beta=124.55 gamma=82.29
Positions (direct):
K: 0.000 0.500 0.500
K: 0.500 0.000 0.500
Rb: 0.038 0.038 0.583
Rb: 0.038 0.455 0.000
Rb: 0.455 0.038 0.000
Rb: 0.455 0.455 0.417
Rb: 0.467 0.467 0.000
O: 0.286 0.286 0.000

Values from the calculation:
- D(E_F) (states/eV/cell) = 4.273
- E above lowest polymorph (eV per atom) = 0.000
- formation energy (no corrections) (eV/atom) = -0.313

---

9.
Density functional theory data (PBE) for a relaxed Ba3UAg2Se9 crystal.

Unit cell a=7.382 b=7.382 c=9.400 alpha=90.00 beta=90.00 gamma=120.00
Positions (direct):
Ba: 0.000 0.000 0.000
Ba: 0.333 0.667 0.701
Ba: 0.667 0.333 0.299
U: 0.000 0.000 0.500
Ag: 0.333 0.667 0.160
Ag: 0.667 0.333 0.840
Se: 0.000 0.500 0.000
Se: 0.169 0.339 0.337
Se: 0.169 0.831 0.337
Se: 0.339 0.169 0.663
Se: 0.500 0.000 0.000
Se: 0.500 0.500 0.000
Se: 0.661 0.831 0.337
Se: 0.831 0.169 0.663
Se: 0.831 0.661 0.663

Values from the calculation:
- D(E_F) (states/eV/cell) = 9.956
- formation energy (no corrections) (eV/atom) = -0.980

---

10.
Density functional theory data (PBE) for a relaxed Ce2YSc3Se6 crystal.

Unit cell a=6.927 b=6.927 c=7.026 alpha=99.46 beta=99.46 gamma=120.06
Positions (direct):
Ce: 0.167 0.833 0.000
Ce: 0.833 0.167 0.000
Y: 0.500 0.500 0.000
Sc: 0.000 0.000 0.500
Sc: 0.335 0.665 0.500
Sc: 0.665 0.335 0.500
Se: 0.080 0.409 0.727
Se: 0.262 0.262 0.272
Se: 0.409 0.080 0.727
Se: 0.591 0.920 0.273
Se: 0.738 0.738 0.728
Se: 0.920 0.591 0.273

Values from the calculation:
- D(E_F) (states/eV/cell) = 15.097
- formation energy (no corrections) (eV/atom) = -1.692

---

11.
Density functional theory data (PBE) for a relaxed ZrTePt2 crystal.

Unit cell a=6.691 b=6.691 c=6.691 alpha=34.67 beta=34.67 gamma=34.67
Positions (direct):
Zr: 0.000 0.000 0.000
Te: 0.500 0.500 0.500
Pt: 0.252 0.252 0.252
Pt: 0.748 0.748 0.748

Values from the calculation:
- D(E_F) (states/eV/cell) = 1.977
- formation energy (no corrections) (eV/atom) = -0.488

---

12.
Density functional theory data (PBE) for a relaxed CaCd2Ir crystal.

Unit cell a=9.789 b=9.789 c=9.789 alpha=19.07 beta=19.07 gamma=19.07
Positions (direct):
Ca: 0.000 0.000 0.000
Cd: 0.240 0.240 0.240
Cd: 0.760 0.760 0.760
Ir: 0.500 0.500 0.500

Values from the calculation:
- D(E_F) (states/eV/cell) = 3.424
- ΔH_f (0 K) (kJ/mol of formula units) = 100

---

13.
Density functional theory data (PBE) for a relaxed SrHgOs2 crystal.

Unit cell a=5.581 b=5.581 c=5.581 alpha=136.76 beta=136.76 gamma=62.80
Positions (direct):
Sr: 0.000 0.000 0.000
Hg: 0.500 0.500 0.000
Os: 0.250 0.750 0.500
Os: 0.750 0.250 0.500

Values from the calculation:
- D(E_F) (states/eV/cell) = 5.111
- ΔH_f (0 K) (kJ/mol of formula units) = 439

---

14.
Density functional theory data (PBE) for a relaxed AgSn crystal.

Unit cell a=4.098 b=4.098 c=4.098 alpha=60.00 beta=60.00 gamma=60.00
Positions (direct):
Ag: 0.000 0.000 0.000
Sn: 0.500 0.500 0.500

Values from the calculation:
- D(E_F) (states/eV/cell) = 1.205
- ΔH_f (0 K) (kJ/mol of formula units) = 35

---

15.
Density functional theory data (PBE) for a relaxed Tl2AgRuO4 crystal.

Unit cell a=10.798 b=9.672 c=6.602 alpha=80.75 beta=62.14 gamma=37.12
Positions (direct):
Tl: 0.058 0.058 0.692
Tl: 0.308 0.308 0.942
Tl: 0.692 0.692 0.058
Tl: 0.942 0.942 0.308
Ag: 0.125 0.125 0.125
Ag: 0.875 0.875 0.875
Ru: 0.375 0.375 0.375
Ru: 0.625 0.625 0.625
O: 0.051 0.610 0.502
O: 0.337 0.502 0.610
O: 0.390 0.949 0.663
O: 0.498 0.663 0.949
O: 0.502 0.337 0.051
O: 0.610 0.051 0.337
O: 0.663 0.498 0.390
O: 0.949 0.390 0.498

Values from the calculation:
- D(E_F) (states/eV/cell) = 9.682
- formation energy (no corrections) (eV/atom) = -0.437

---

16.
Density functional theory data (PBE) for a relaxed NaPH crystal.

Unit cell a=3.990 b=3.990 c=8.909 alpha=101.31 beta=101.31 gamma=90.06
Positions (direct):
Na: 0.179 0.179 0.344
Na: 0.821 0.821 0.656
P: 0.343 0.343 0.705
P: 0.657 0.657 0.295
H: 0.414 0.414 0.873
H: 0.586 0.586 0.127

Values from the calculation:
- D(E_F) (states/eV/cell) = 2.421
- E above lowest polymorph (eV per atom) = 0.308

---

17.
Density functional theory data (PBE) for a relaxed Pr2Sn3SbIr4 crystal.

Unit cell a=4.514 b=4.514 c=10.825 alpha=90.00 beta=90.00 gamma=90.00
Positions (direct):
Pr: 0.000 0.500 0.248
Pr: 0.500 0.000 0.752
Sn: 0.000 0.500 0.869
Sn: 0.500 0.000 0.131
Sn: 0.500 0.500 0.500
Sb: 0.000 0.000 0.500
Ir: 0.000 0.000 0.000
Ir: 0.000 0.500 0.628
Ir: 0.500 0.000 0.372
Ir: 0.500 0.500 0.000

Values from the calculation:
- D(E_F) (states/eV/cell) = 4.762
- formation energy (no corrections) (eV/atom) = -0.567

---

18.
Density functional theory data (PBE) for a relaxed BaSb2Os crystal.

Unit cell a=4.641 b=6.989 c=6.989 alpha=37.89 beta=90.00 gamma=90.00
Positions (direct):
Ba: 0.000 0.000 0.000
Sb: 0.000 0.708 0.708
Sb: 0.500 0.383 0.383
Os: 0.500 0.789 0.789

Values from the calculation:
- D(E_F) (states/eV/cell) = 3.807
- formation energy (no corrections) (eV/atom) = -0.034

---

19.
Density functional theory data (PBE) for a relaxed CsRbHgF6 crystal.

Unit cell a=6.381 b=6.381 c=5.065 alpha=90.00 beta=90.00 gamma=120.00
Positions (direct):
Cs: 0.000 0.000 0.000
Rb: 0.333 0.667 0.436
Hg: 0.667 0.333 0.707
F: 0.342 0.172 0.481
F: 0.501 0.003 0.925
F: 0.502 0.499 0.925
F: 0.828 0.170 0.481
F: 0.830 0.658 0.481
F: 0.997 0.498 0.925

Values from the calculation:
- formation energy (no corrections) (eV/atom) = -1.826

---

20.
Density functional theory data (PBE) for a relaxed TlPd2Pb crystal.

Unit cell a=8.661 b=7.349 c=5.639 alpha=90.00 beta=90.00 gamma=90.00
Positions (direct):
Tl: 0.122 0.088 0.250
Tl: 0.122 0.412 0.750
Tl: 0.878 0.588 0.250
Tl: 0.878 0.912 0.750
Pd: 0.128 0.750 0.000
Pd: 0.128 0.750 0.500
Pd: 0.376 0.250 0.000
Pd: 0.376 0.250 0.500
Pd: 0.624 0.750 0.000
Pd: 0.624 0.750 0.500
Pd: 0.872 0.250 0.000
Pd: 0.872 0.250 0.500
Pb: 0.375 0.585 0.250
Pb: 0.375 0.915 0.750
Pb: 0.625 0.085 0.250
Pb: 0.625 0.415 0.750

Values from the calculation:
- D(E_F) (states/eV/cell) = 7.104
- ΔH_f (0 K) (kJ/mol of formula units) = -78
- E above lowest polymorph (eV per atom) = 0.000

---

| no. | magnetization (μB per formula unit) |
| --- | --- |
| 1 | 0.0 |
| 2 | 3.1 |
| 3 | 0.0 |
| 4 | 0.0 |
| 5 | 0.0 |
| 6 | 0.0 |
| 7 | 0.0 |
| 8 | 0.0 |
| 9 | 0.0 |
| 10 | 1.9 |
| 11 | 0.0 |
| 12 | 0.1 |
| 13 | 2.1 |
| 14 | 0.0 |
| 15 | 0.0 |
| 16 | 0.0 |
| 17 | 0.0 |
| 18 | 0.0 |
| 19 | 2.0 |
| 20 | 0.0 |